The following is a DFT calculation (PBE) of an optimized crystal structure of TlFeSb2Te.

M_tot = 3.28 μB per formula unit
Energy above the most stable polymorph in this dataset = 1139 meV/atom

Unit cell a=5.654 b=5.654 c=5.752 alpha=90.00 beta=90.00 gamma=90.00
Last column: magnetic moment on the atom in μB.
Sites, in units of the cell vectors:
1 Tl 0.000 0.000 0.000  0.01
2 Fe 0.500 0.500 0.500  3.39
3 Te 0.000 0.000 0.500  -0.02
4 Sb 0.000 0.500 0.000  -0.08
5 Sb 0.500 0.000 0.000  -0.08



The following is a DFT calculation (PBE) of an optimized crystal structure of TlFeSbTe2.

M_tot = 2.66 μB per formula unit
Energy above the most stable polymorph in this dataset = 0 meV/atom

Unit cell a=5.378 b=5.378 c=4.793 alpha=90.00 beta=90.00 gamma=90.00
Last column: magnetic moment on the atom in μB.
Sites, in units of the cell vectors:
1 Te 0.500 0.000 0.000  0.09
2 Te 0.000 0.500 0.000  0.09
3 Tl 0.500 0.500 0.500  0.03
4 Sb 0.000 0.000 0.500  -0.04
5 Fe 0.000 0.000 0.000  2.25



The following is a DFT calculation (PBE) of an optimized crystal structure of VFeSbTe2.

M_tot = 1.57 μB per formula unit
Energy above the most stable polymorph in this dataset = 132 meV/atom

Unit cell a=5.140 b=5.140 c=4.733 alpha=90.00 beta=90.00 gamma=90.00
Last column: magnetic moment on the atom in μB.
Sites, in units of the cell vectors:
1 Sb 0.000 0.000 0.500  -0.03
2 Te 0.000 0.500 0.000  0.02
3 Te 0.500 0.000 0.000  0.02
4 Fe 0.000 0.000 0.000  1.50
5 V 0.500 0.500 0.500  -0.02



The following is a DFT calculation (PBE) of an optimized crystal structure of VFeSbTe2.

M_tot = 4.20 μB per formula unit
Energy above the most stable polymorph in this dataset = 0 meV/atom

Unit cell a=5.160 b=5.160 c=5.159 alpha=90.00 beta=90.00 gamma=90.00
Last column: magnetic moment on the atom in μB.
Sites, in units of the cell vectors:
1 Sb 0.000 0.000 0.500  -0.09
2 V 0.000 0.000 0.000  0.80
3 Fe 0.500 0.500 0.500  3.29
4 Te 0.000 0.500 0.000  -0.04
5 Te 0.500 0.000 0.000  -0.04



The following is a DFT calculation (PBE) of an optimized crystal structure of YFeSbTe2.

M_tot = 3.65 μB per formula unit
Energy above the most stable polymorph in this dataset = 686 meV/atom

Unit cell a=5.774 b=5.774 c=5.861 alpha=90.00 beta=90.00 gamma=90.00
Last column: magnetic moment on the atom in μB.
Sites, in units of the cell vectors:
1 Te 0.500 0.000 0.000  -0.01
2 Te 0.000 0.500 0.000  -0.01
3 Sb 0.000 0.000 0.500  -0.07
4 Fe 0.500 0.500 0.500  3.42
5 Y 0.000 0.000 0.000  0.01



The following is a DFT calculation (PBE) of an optimized crystal structure of YFeSbTe2.

M_tot = 2.08 μB per formula unit
Energy above the most stable polymorph in this dataset = 0 meV/atom

Unit cell a=5.287 b=5.287 c=4.835 alpha=90.00 beta=90.00 gamma=90.00
Last column: magnetic moment on the atom in μB.
Sites, in units of the cell vectors:
1 Te 0.000 0.500 0.000  -0.01
2 Te 0.500 0.000 0.000  -0.01
3 Y 0.500 0.500 0.500  0.04
4 Fe 0.000 0.000 0.000  2.00
5 Sb 0.000 0.000 0.500  -0.03



The following is a DFT calculation (PBE) of an optimized crystal structure of ZnFeSbTe2.

M_tot = 3.44 μB per formula unit
Energy above the most stable polymorph in this dataset = 474 meV/atom

Unit cell a=5.335 b=5.335 c=5.078 alpha=90.00 beta=90.00 gamma=90.00
Last column: magnetic moment on the atom in μB.
Sites, in units of the cell vectors:
1 Te 0.000 0.500 0.000  0.00
2 Te 0.500 0.000 0.000  0.00
3 Fe 0.500 0.500 0.500  3.29
4 Sb 0.000 0.000 0.500  -0.04
5 Zn 0.000 0.000 0.000  0.00



The following is a DFT calculation (PBE) of an optimized crystal structure of ZnFeSbTe2.

M_tot = 2.17 μB per formula unit
Energy above the most stable polymorph in this dataset = 0 meV/atom

Unit cell a=5.191 b=5.191 c=4.767 alpha=90.00 beta=90.00 gamma=90.00
Last column: magnetic moment on the atom in μB.
Sites, in units of the cell vectors:
1 Fe 0.000 0.000 0.000  1.86
2 Sb 0.000 0.000 0.500  -0.03
3 Te 0.500 0.000 0.000  0.09
4 Te 0.000 0.500 0.000  0.09
5 Zn 0.500 0.500 0.500  -0.01



The following is a DFT calculation (PBE) of an optimized crystal structure of Th3FeSb2.

M_tot = 0.49 μB per formula unit
Energy above the most stable polymorph in this dataset = 0 meV/atom

Unit cell a=4.273 b=11.978 c=12.643 alpha=90.00 beta=90.00 gamma=90.00
Last column: magnetic moment on the atom in μB.
Sites, in units of the cell vectors:
1 Th 0.250 0.778 0.738  -0.04
2 Th 0.250 0.722 0.238  -0.04
3 Th 0.750 0.620 0.946  0.01
4 Th 0.250 0.380 0.054  0.01
5 Th 0.750 0.953 0.119  -0.05
6 Th 0.750 0.278 0.762  -0.04
7 Th 0.750 0.880 0.446  0.01
8 Th 0.250 0.047 0.881  -0.05
9 Th 0.750 0.222 0.262  -0.04
10 Th 0.250 0.453 0.381  -0.05
11 Th 0.750 0.547 0.619  -0.05
12 Th 0.250 0.120 0.554  0.01
13 Sb 0.250 0.693 0.492  0.00
14 Sb 0.750 0.193 0.008  0.00
15 Sb 0.750 0.514 0.194  0.00
16 Sb 0.250 0.014 0.306  0.00
17 Sb 0.750 0.307 0.508  0.00
18 Sb 0.750 0.986 0.694  0.00
19 Sb 0.250 0.807 0.992  0.00
20 Sb 0.250 0.486 0.806  0.00
21 Fe 0.750 0.860 0.872  0.61
22 Fe 0.250 0.360 0.628  0.61
23 Fe 0.250 0.140 0.128  0.61
24 Fe 0.750 0.640 0.372  0.61



The following is a DFT calculation (PBE) of an optimized crystal structure of Th8FeSb2.

Total energy = -7.116 eV per atom
M_tot = 0.00 μB per formula unit

Unit cell a=5.568 b=6.709 c=9.773 alpha=112.44 beta=106.55 gamma=90.00
Sites, in units of the cell vectors:
1 Th 0.778 0.686 0.555
2 Th 0.415 0.577 0.829
3 Th 0.636 0.974 0.272
4 Th 0.364 0.026 0.728
5 Th 0.001 0.767 0.003
6 Th 0.999 0.233 0.997
7 Th 0.585 0.423 0.171
8 Th 0.222 0.314 0.445
9 Fe 0.500 0.000 0.000
10 Sb 0.829 0.271 0.657
11 Sb 0.171 0.729 0.343



The following is a DFT calculation (PBE) of an optimized crystal structure of Th4FeSb2.

Total energy = -7.133 eV per atom
M_tot = 0.00 μB per formula unit

Unit cell a=6.855 b=6.658 c=9.196 alpha=90.00 beta=108.45 gamma=90.00
Sites, in units of the cell vectors:
1 Th 0.922 0.250 0.127
2 Th 0.144 0.750 0.432
3 Th 0.479 0.494 0.223
4 Th 0.521 0.994 0.777
5 Th 0.078 0.750 0.873
6 Th 0.479 0.006 0.223
7 Th 0.856 0.250 0.568
8 Th 0.521 0.506 0.777
9 Sb 0.283 0.250 0.460
10 Sb 0.779 0.750 0.086
11 Sb 0.717 0.750 0.540
12 Sb 0.221 0.250 0.914
13 Fe 0.176 0.750 0.179
14 Fe 0.824 0.250 0.821



The following is a DFT calculation (PBE) of an optimized crystal structure of Th5FeSb2.

M_tot = 0.00 μB per formula unit
Energy above the most stable polymorph in this dataset = 0 meV/atom

Unit cell a=4.501 b=8.211 c=12.479 alpha=90.00 beta=90.00 gamma=90.00
Sites, in units of the cell vectors:
1 Sb 0.500 0.412 0.823
2 Sb 0.500 0.088 0.323
3 Sb 0.500 0.588 0.177
4 Sb 0.500 0.912 0.677
5 Th 0.000 0.124 0.806
6 Th 0.000 0.624 0.694
7 Th 0.000 0.376 0.306
8 Th 0.500 0.695 0.439
9 Th 0.000 0.876 0.194
10 Th 0.000 0.000 0.500
11 Th 0.500 0.805 0.939
12 Th 0.500 0.195 0.061
13 Th 0.500 0.305 0.561
14 Th 0.000 0.500 0.000
15 Fe 0.000 0.500 0.500
16 Fe 0.000 0.000 0.000



The following is a DFT calculation (PBE) of an optimized crystal structure of Th3Fe3Sb.

Total energy = -7.660 eV per atom
M_tot = 4.05 μB per formula unit

Unit cell a=4.088 b=9.550 c=9.550 alpha=120.00 beta=90.00 gamma=90.00
Last column: magnetic moment on the atom in μB.
Sites, in units of the cell vectors:
1 Th 0.750 0.676 0.062  -0.17
2 Th 0.250 0.614 0.676  -0.17
3 Th 0.750 0.386 0.324  -0.17
4 Th 0.250 0.324 0.938  -0.17
5 Th 0.750 0.938 0.614  -0.17
6 Th 0.250 0.062 0.386  -0.17
7 Fe 0.750 0.010 0.152  1.64
8 Fe 0.750 0.848 0.858  1.64
9 Fe 0.250 0.152 0.142  1.64
10 Fe 0.250 0.990 0.848  1.64
11 Fe 0.250 0.858 0.010  1.64
12 Fe 0.750 0.142 0.990  1.64
13 Sb 0.750 0.333 0.667  0.01
14 Sb 0.250 0.667 0.333  0.01